Mn2Cd2Mo: optimized geometry, PBE-GGA.

E_form: 4.17 eV/f.u.
total magnetization: 0.979 μB/atom
crystal system: tetragonal

Structure (POSCAR):
```
Mn2Cd2Mo
1.0
-1.852 1.852 6.772
1.852 -1.852 6.772
1.852 1.852 -6.772
Mn Cd Mo
2 2 1
Cartesian
0.000 0.000 7.947
0.000 0.000 5.596
1.852 0.000 3.386
0.000 1.852 3.386
0.000 0.000 0.000
```